DFT (PBE) results for a geometry-optimized La3Tb4Pr structure.

Cell lengths 3.5014, 9.0992, 9.0992 Å; angles 81.70, 78.91, 78.91 degrees
Last column: nearest neighbours and their distance in Å.
Fractional positions:
Pr (0.5000, 0.0000, 0.0000)  4 Tb 3.46, 2 Pr 3.50, 4 La 3.67
Tb (0.6345, 0.1146, 0.6164)  3 La 3.41-3.73, 1 Pr 3.46, 5 Tb 3.50-3.58
Tb (0.3655, 0.8854, 0.3836)  3 La 3.41-3.73, 1 Pr 3.46, 5 Tb 3.50-3.58
Tb (0.3655, 0.3836, 0.8854)  3 La 3.41-3.73, 1 Pr 3.46, 5 Tb 3.50-3.58
Tb (0.6345, 0.6164, 0.1146)  3 La 3.41-3.73, 1 Pr 3.46, 5 Tb 3.50-3.58
La (0.7578, 0.2422, 0.2422)  6 Tb 3.41-3.73, 2 La 3.50, 2 Pr 3.67
La (0.2422, 0.7578, 0.7578)  6 Tb 3.41-3.73, 2 La 3.50, 2 Pr 3.67
La (0.0000, 0.5000, 0.5000)  6 La 3.50-3.85, 8 Tb 3.90

Properties
* energy of formation: 0.1270 eV per atom
* magnetic moment: 0.0 μB/cell
* relative energy among the computed polymorphs: 92 meV per atom
* crystal system: orthorhombic